Entry 1:
A relaxed TbHo2ThSc4 crystal. Source: Alexandria via LeMat-Bulk, functional PBE.

a b c (Å): 4.9408 4.9450 10.3760
angles (deg): 61.55 90.00 90.00
Positions (direct):
Ho: 0.5000 0.0000 0.5000
Tb: 0.5000 0.5000 0.0000
Sc: 0.0000 0.2476 0.2524
Th: 0.0000 0.5000 0.5000
Sc: 0.0000 0.7524 0.7476
Sc: 0.5000 0.2524 0.7477
Sc: 0.5000 0.7476 0.2523
Ho: 0.0000 0.0000 0.0000

## Properties
* crystal system: tetragonal

Entry 2:
A relaxed Tb6Ho2ThSc3 crystal. Source: Alexandria via LeMat-Bulk, functional PBE.

a b c (Å): 6.0572 6.0572 11.4826
angles (deg): 95.05 95.05 119.99
Positions (direct):
Tb: 0.9135 0.5826 0.7418
Sc: 0.8330 0.1670 0.5000
Ho: 0.3333 0.6667 0.0000
Th: 0.0000 0.0000 0.0000
Tb: 0.4174 0.0865 0.2582
Ho: 0.6667 0.3333 0.0000
Sc: 0.5000 0.5000 0.5000
Tb: 0.2443 0.2443 0.7418
Sc: 0.1670 0.8330 0.5000
Tb: 0.7557 0.7557 0.2582
Tb: 0.5826 0.9135 0.7418
Tb: 0.0865 0.4174 0.2582

## Properties
* crystal system: monoclinic

Entry 3:
A relaxed TbHo3ThSc crystal. Source: Alexandria via LeMat-Bulk, functional PBE.

a b c (Å): 4.9380 7.7765 9.9980
angles (deg): 90.00 90.00 108.51
Positions (direct):
Ho: 0.6654 0.3309 0.5002
Sc: 0.1651 0.3302 0.2500
Ho: 0.6654 0.3309 0.9998
Ho: 0.1684 0.3367 0.7500
Tb: 0.0000 0.0000 0.0000
Sc: 0.8349 0.6698 0.7500
Ho: 0.3346 0.6691 0.0002
Tb: 0.0000 0.0000 0.5000
Th: 0.5028 0.0055 0.2500
Ho: 0.8316 0.6633 0.2500
Th: 0.4972 0.9945 0.7500
Ho: 0.3346 0.6691 0.4998

## Properties
* crystal system: orthorhombic

Entry 4:
A relaxed TbHoThSc crystal. Source: Alexandria via LeMat-Bulk, functional PBE.

a b c (Å): 3.5302 3.5307 11.2836
angles (deg): 90.00 99.00 120.00
Positions (direct):
Ho: 0.4721 0.1338 0.6215
Th: 0.3074 0.5513 0.8743
Tb: 0.9645 0.3806 0.3599
Sc: 0.1339 0.9650 0.1140

## Properties
* crystal system: trigonal

Entry 5:
A relaxed TbHoThSc crystal. Source: Alexandria via LeMat-Bulk, functional PBE.

a b c (Å): 5.5397 5.5397 5.5397
angles (deg): 60.00 60.00 60.00
Positions (direct):
Sc: 0.5000 0.5000 0.5000
Ho: 0.0000 0.0000 0.0000
Th: 0.7500 0.7500 0.7500
Tb: 0.2500 0.2500 0.2500

## Properties
* crystal system: cubic

Entry 6:
A relaxed Tb6Ho3ThSc2 crystal. Source: Alexandria via LeMat-Bulk, functional PBE.

a b c (Å): 6.0565 6.0565 11.6686
angles (deg): 94.96 94.96 119.98
Positions (direct):
Tb: 0.9176 0.5846 0.7538
Tb: 0.7494 0.7494 0.2460
Ho: 0.8326 0.1674 0.5000
Th: 0.0000 0.0000 0.0000
Ho: 0.5000 0.5000 0.5000
Tb: 0.5846 0.9176 0.7538
Ho: 0.1674 0.8326 0.5000
Tb: 0.2506 0.2506 0.7540
Tb: 0.0824 0.4154 0.2462
Sc: 0.3332 0.6668 0.0000
Sc: 0.6668 0.3332 0.0000
Tb: 0.4154 0.0824 0.2462

## Properties
* crystal system: monoclinic

Entry 7:
A relaxed TbHoScTi crystal. Source: Alexandria via LeMat-Bulk, functional PBE.

a b c (Å): 5.2749 5.2749 5.2749
angles (deg): 60.00 60.00 60.00
Last column: magnetic moment on the atom in μB.
Positions (direct):
Tb: 0.2500 0.2500 0.2500  0.24
Sc: 0.5000 0.5000 0.5000  0.07
Ti: 0.0000 0.0000 0.0000  1.30
Ho: 0.7500 0.7500 0.7500  0.26

## Properties
* crystal system: cubic

Entry 8:
A relaxed Tb2HoScTl4 crystal. Source: Alexandria via LeMat-Bulk, functional PBE.

a b c (Å): 5.3043 5.3043 9.2166
angles (deg): 73.28 73.28 60.00
Positions (direct):
Tl: 0.3764 0.3764 0.8709
Sc: 0.5000 0.5000 0.5000
Tl: 0.8738 0.8738 0.3787
Ho: 0.0000 0.0000 0.0000
Tb: 0.7512 0.7512 0.7463
Tl: 0.6236 0.6236 0.1291
Tl: 0.1262 0.1262 0.6213
Tb: 0.2488 0.2488 0.2537

## Properties
* crystal system: trigonal

Entry 9:
A relaxed TbHo2ScTl4 crystal. Source: Alexandria via LeMat-Bulk, functional PBE.

a b c (Å): 5.2955 5.2955 9.2076
angles (deg): 73.29 73.29 60.00
Positions (direct):
Tl: 0.8734 0.8734 0.3797
Tl: 0.3769 0.3769 0.8694
Ho: 0.7514 0.7514 0.7459
Tl: 0.1266 0.1266 0.6203
Tb: 0.0000 0.0000 0.0000
Tl: 0.6231 0.6231 0.1306
Ho: 0.2486 0.2486 0.2541
Sc: 0.5000 0.5000 0.5000

## Properties
* crystal system: trigonal

Entry 10:
A relaxed TbHo2ScTl2 crystal. Source: Alexandria via LeMat-Bulk, functional PBE.

a b c (Å): 4.9468 6.8742 9.7412
angles (deg): 90.00 90.00 90.00
Positions (direct):
Tl: 0.0000 0.7951 0.1364
Ho: 0.5000 0.0554 0.0486
Tb: 0.0000 0.4554 0.5479
Ho: 0.0000 0.3452 0.1889
Ho: 0.0000 0.8452 0.8111
Sc: 0.5000 0.1669 0.6958
Tl: 0.5000 0.7277 0.6206
Tl: 0.5000 0.2277 0.3794
Sc: 0.5000 0.6669 0.3042
Ho: 0.5000 0.5554 0.9514
Tl: 0.0000 0.2951 0.8636
Tb: 0.0000 0.9554 0.4521

## Properties
* crystal system: orthorhombic

Entry 11:
A relaxed Tb2Ho3Tm6Sc crystal. Source: Alexandria via LeMat-Bulk, functional PBE.

a b c (Å): 6.0399 6.0399 11.5722
angles (deg): 94.98 94.98 119.95
Positions (direct):
Ho: 0.8336 0.1664 0.5000
Tm: 0.4132 0.0822 0.2484
Tm: 0.7512 0.7512 0.2487
Tb: 0.3334 0.6666 0.0000
Tb: 0.6666 0.3334 0.0000
Ho: 0.5000 0.5000 0.5000
Tm: 0.9178 0.5868 0.7516
Ho: 0.1664 0.8336 0.5000
Sc: 0.0000 0.0000 0.0000
Tm: 0.5868 0.9178 0.7516
Tm: 0.0822 0.4132 0.2484
Tm: 0.2488 0.2488 0.7513

## Properties
* crystal system: monoclinic

Entry 12:
A relaxed Tb3Ho6TmSc2 crystal. Source: Alexandria via LeMat-Bulk, functional PBE.

a b c (Å): 6.0476 6.0476 11.5300
angles (deg): 95.01 95.01 119.95
Positions (direct):
Ho: 0.2538 0.2538 0.7565
Tm: 0.0000 0.0000 0.0000
Ho: 0.4171 0.0817 0.2434
Sc: 0.3335 0.6665 0.0000
Ho: 0.5829 0.9183 0.7566
Ho: 0.0817 0.4171 0.2434
Ho: 0.9183 0.5829 0.7566
Tb: 0.1668 0.8332 0.5000
Tb: 0.5000 0.5000 0.5000
Sc: 0.6665 0.3335 0.0000
Ho: 0.7462 0.7462 0.2435
Tb: 0.8332 0.1668 0.5000

## Properties
* crystal system: monoclinic

E_form / eV/atom: 0.0403, 0.0541, 0.0494, 0.0265, 0.1110, 0.0414, 0.2159, -0.3144, -0.3071, -0.2603, 0.0300, 0.0365